Model P:
Below is a geometry-optimized Ca2Hg2Pt structure, with properties calculated at the PBE level.

a b c (Å): 3.952 3.952 9.143
angles (deg): 77.52 77.52 90.00
Fractional coordinates of all 5 atoms:
Ca: 0.409 0.409 0.182
Ca: 0.591 0.591 0.818
Hg: 0.750 0.250 0.500
Hg: 0.250 0.750 0.500
Pt: 0.000 0.000 0.000

## Properties
- crystal system = tetragonal
- V (Å³/atom) = 27.19
- space group = I4/mmm, No. 139

Model Q:
Below is a geometry-optimized Ca2Hg2Pt structure, with properties calculated at the PBE level.

a b c (Å): 7.614 7.614 4.775
angles (deg): 90.00 90.00 90.00
Fractional coordinates of all 10 atoms:
Ca: 0.331 0.831 0.000
Ca: 0.831 0.669 0.000
Ca: 0.669 0.169 0.000
Ca: 0.169 0.331 0.000
Hg: 0.143 0.643 0.500
Hg: 0.643 0.857 0.500
Hg: 0.857 0.357 0.500
Hg: 0.357 0.143 0.500
Pt: 0.000 0.000 0.000
Pt: 0.500 0.500 0.000

## Properties
- crystal system = tetragonal
- V (Å³/atom) = 27.68
- space group = P4/mbm, No. 127

Calculated relative energies: model P 0; model Q 43, given in meV per atom

Model P:
Below is a geometry-optimized Ca3HgPt2 structure, with properties calculated at the PBE level.

a b c (Å): 3.658 5.063 7.896
angles (deg): 108.70 90.00 90.00
Fractional coordinates of all 6 atoms:
Ca: 0.500 0.500 0.000
Ca: 0.500 0.823 0.646
Ca: 0.500 0.177 0.354
Hg: 0.000 0.000 0.000
Pt: 0.000 0.338 0.677
Pt: 0.000 0.662 0.323

## Properties
- crystal system = orthorhombic
- V (Å³/atom) = 23.09
- space group = Cmmm, No. 65

Model Q:
Below is a geometry-optimized Ca3HgPt2 structure, with properties calculated at the PBE level.

a b c (Å): 3.597 3.597 10.769
angles (deg): 90.00 90.00 90.00
Fractional coordinates of all 6 atoms:
Ca: 0.000 0.000 0.000
Ca: 0.000 0.000 0.691
Ca: 0.000 0.000 0.309
Hg: 0.500 0.500 0.500
Pt: 0.500 0.500 0.844
Pt: 0.500 0.500 0.156

## Properties
- crystal system = tetragonal
- V (Å³/atom) = 23.22
- space group = P4/mmm, No. 123

Calculated relative energies: model P 26; model Q 0, given in meV per atom

Model P:
Below is a geometry-optimized CaPuHgPt structure, with properties calculated at the PBE level.

a b c (Å): 3.570 3.570 7.624
angles (deg): 90.00 90.00 90.00
Last column: magnetic moment on the atom in μB.
Fractional coordinates of all 4 atoms:
Ca: 0.000 0.000 0.378  0.01
Pu: 0.000 0.000 0.825  5.28
Hg: 0.500 0.500 0.105  0.01
Pt: 0.500 0.500 0.620  -0.04

## Properties
- crystal system = tetragonal
- V (Å³/atom) = 24.29
- space group = P4mm, No. 99

Model Q:
Below is a geometry-optimized CaPuHgPt structure, with properties calculated at the PBE level.

a b c (Å): 5.144 5.144 5.144
angles (deg): 60.00 60.00 60.00
Last column: magnetic moment on the atom in μB.
Fractional coordinates of all 4 atoms:
Ca: 0.500 0.500 0.500  0.03
Hg: 0.750 0.750 0.750  0.04
Pt: 0.250 0.250 0.250  -0.06
Pu: 0.000 0.000 0.000  5.34

## Properties
- crystal system = cubic
- V (Å³/atom) = 24.06
- space group = F-43m, No. 216

Calculated relative energies: model P 0; model Q 92, given in meV per atom

Model P:
Below is a geometry-optimized CaPuSnHg structure, with properties calculated at the PBE level.

a b c (Å): 5.400 5.400 5.400
angles (deg): 60.00 60.00 60.00
Last column: magnetic moment on the atom in μB.
Fractional coordinates of all 4 atoms:
Ca: 0.500 0.500 0.500  0.03
Hg: 0.750 0.750 0.750  0.05
Sn: 0.250 0.250 0.250  -0.07
Pu: 0.000 0.000 0.000  5.53

## Properties
- crystal system = cubic
- V (Å³/atom) = 27.84
- space group = F-43m, No. 216

Model Q:
Below is a geometry-optimized CaPuSnHg structure, with properties calculated at the PBE level.

a b c (Å): 3.598 3.598 8.363
angles (deg): 90.00 90.00 90.00
Last column: magnetic moment on the atom in μB.
Fractional coordinates of all 4 atoms:
Ca: 0.000 0.000 0.862  0.00
Pu: 0.000 0.000 0.354  5.58
Sn: 0.500 0.500 0.608  0.00
Hg: 0.500 0.500 0.104  0.03

## Properties
- crystal system = tetragonal
- V (Å³/atom) = 27.06
- space group = P4mm, No. 99

Calculated relative energies: model P 0; model Q 14, given in meV per atom

Model P:
Below is a geometry-optimized RbCaHg2 structure, with properties calculated at the PBE level.

a b c (Å): 3.947 3.947 8.698
angles (deg): 90.00 90.00 90.00
Fractional coordinates of all 4 atoms:
Ca: 0.500 0.500 0.000
Hg: 0.000 0.000 0.804
Hg: 0.000 0.000 0.196
Rb: 0.500 0.500 0.500

## Properties
- crystal system = tetragonal
- V (Å³/atom) = 33.87
- space group = P4/mmm, No. 123

Model Q:
Below is a geometry-optimized RbCaHg2 structure, with properties calculated at the PBE level.

a b c (Å): 8.947 8.947 7.436
angles (deg): 53.02 53.02 90.00
Fractional coordinates of all 8 atoms:
Ca: 0.500 0.500 0.000
Ca: 0.250 0.750 0.500
Hg: 0.589 0.125 0.250
Hg: 0.161 0.625 0.250
Hg: 0.375 0.411 0.750
Hg: 0.875 0.839 0.750
Rb: 0.000 0.000 0.000
Rb: 0.750 0.250 0.500

## Properties
- crystal system = tetragonal
- V (Å³/atom) = 39.11
- space group = I-42d, No. 122

Model R:
Below is a geometry-optimized RbCaHg2 structure, with properties calculated at the PBE level.

a b c (Å): 4.360 4.360 9.557
angles (deg): 76.81 76.81 60.00
Fractional coordinates of all 4 atoms:
Ca: 0.000 0.000 0.000
Hg: 0.737 0.737 0.790
Hg: 0.263 0.263 0.210
Rb: 0.500 0.500 0.500

## Properties
- crystal system = trigonal
- V (Å³/atom) = 37.95
- space group = R-3m, No. 166

Calculated relative energies: model P 0; model Q 210; model R 88, given in meV per atom

Model P:
Below is a geometry-optimized RbCaHg2 structure, with properties calculated at the PBE level.

a b c (Å): 4.329 4.329 9.636
angles (deg): 77.02 77.02 60.00
Fractional coordinates of all 4 atoms:
Rb: 0.500 0.500 0.501
Ca: 0.667 0.667 0.999
Hg: 0.070 0.070 0.789
Hg: 0.263 0.263 0.211

## Properties
- crystal system = trigonal
- V (Å³/atom) = 37.75
- space group = R3m, No. 160

Model Q:
Below is a geometry-optimized RbCaHg2 structure, with properties calculated at the PBE level.

a b c (Å): 5.760 5.760 5.760
angles (deg): 60.00 60.00 60.00
Fractional coordinates of all 4 atoms:
Ca: 0.000 0.000 0.000
Hg: 0.250 0.250 0.250
Hg: 0.750 0.750 0.750
Rb: 0.500 0.500 0.500

## Properties
- crystal system = cubic
- V (Å³/atom) = 33.79
- space group = Fm-3m, No. 225

Calculated relative energies: model P 0; model Q 22, given in meV per atom

Model P:
Below is a geometry-optimized RbCaHg2Rh structure, with properties calculated at the PBE level.

a b c (Å): 5.491 5.491 5.183
angles (deg): 90.00 90.00 90.00
Fractional coordinates of all 5 atoms:
Ca: 0.000 0.000 0.500
Rh: 0.000 0.000 0.000
Hg: 0.000 0.500 0.000
Hg: 0.500 0.000 0.000
Rb: 0.500 0.500 0.500

## Properties
- crystal system = tetragonal
- V (Å³/atom) = 31.25
- space group = P4/mmm, No. 123

Model Q:
Below is a geometry-optimized RbCaHg2Rh structure, with properties calculated at the PBE level.

a b c (Å): 6.031 5.058 6.031
angles (deg): 90.00 90.00 90.00
Fractional coordinates of all 5 atoms:
Ca: 0.000 0.000 0.000
Rh: 0.000 0.500 0.000
Hg: 0.000 0.000 0.500
Hg: 0.500 0.000 0.000
Rb: 0.500 0.500 0.500

## Properties
- crystal system = tetragonal
- V (Å³/atom) = 36.79
- space group = P4/mmm, No. 123

Calculated relative energies: model P 0; model Q 475, given in meV per atom

Model P:
Below is a geometry-optimized CaReHg structure, with properties calculated at the PBE level.

a b c (Å): 4.780 4.780 4.780
angles (deg): 60.00 60.00 60.00
Last column: magnetic moment on the atom in μB.
Fractional coordinates of all 3 atoms:
Re: 0.000 0.000 0.000  2.27
Ca: 0.500 0.500 0.500  0.00
Hg: 0.750 0.750 0.750  -0.01

## Properties
- crystal system = cubic
- V (Å³/atom) = 25.74
- space group = F-43m, No. 216

Model Q:
Below is a geometry-optimized CaReHg structure, with properties calculated at the PBE level.

a b c (Å): 4.871 4.871 4.871
angles (deg): 60.00 60.00 60.00
Last column: magnetic moment on the atom in μB.
Fractional coordinates of all 3 atoms:
Re: 0.500 0.500 0.500  2.68
Ca: 0.750 0.750 0.750  0.06
Hg: 0.000 0.000 0.000  -0.02

## Properties
- crystal system = cubic
- V (Å³/atom) = 27.25
- space group = F-43m, No. 216

Calculated relative energies: model P 0; model Q 394, given in meV per atom